Computed, not measured: an optimized crystal structure of InBPt4 at the GGA-PBE level of DFT.

Formation enthalpy at 0 K = -0.309 eV/atom
Crystal system = triclinic
Density = 16.19 g cm⁻³
VASP energy = -5.91 eV/atom
Volume = 185.83 Å³/cell

a = 4.781 Å, b = 6.037 Å, c = 7.071 Å
α = 76.04°, β = 70.37°, γ = 89.97°
Positions (direct):
In (0.113, 0.250, 0.498)
In (0.887, 0.750, 0.502)
B (0.000, 0.500, 0.000)
B (0.500, 0.000, 0.000)
Pt (0.084, 0.148, 0.103)
Pt (0.296, 0.557, 0.685)
Pt (0.315, 0.649, 0.100)
Pt (0.479, 0.938, 0.317)
Pt (0.521, 0.062, 0.683)
Pt (0.685, 0.351, 0.900)
Pt (0.704, 0.443, 0.315)
Pt (0.916, 0.852, 0.897)

---

Computed, not measured: an optimized crystal structure of InB3Pt at the GGA-PBE level of DFT.

Formation enthalpy at 0 K = 2.430 eV/atom
Crystal system = cubic
Energy above the lowest structure with this stoichiometry = 1332.2 meV per atom
Density = 6.78 g cm⁻³
VASP energy = -3.33 eV/atom
Volume = 83.83 Å³/cell

a = 4.377 Å, b = 4.377 Å, c = 4.377 Å
α = 90.00°, β = 90.00°, γ = 90.00°
Positions (direct):
In (0.000, 0.000, 0.000)
B (0.000, 0.000, 0.500)
B (0.000, 0.500, 0.000)
B (0.500, 0.000, 0.000)
Pt (0.500, 0.500, 0.500)

---

Computed, not measured: an optimized crystal structure of Rb2InBPt at the GGA-PBE level of DFT.

Formation enthalpy at 0 K = 1.118 eV/atom
Crystal system = tetragonal
Energy above the lowest structure with this stoichiometry = 866.0 meV per atom
Density = 3.39 g cm⁻³
VASP energy = -2.36 eV/atom
Volume = 240.50 Å³/cell

a = 6.926 Å, b = 6.926 Å, c = 5.013 Å
α = 90.00°, β = 90.00°, γ = 90.00°
Positions (direct):
Rb (0.000, 0.500, 0.000)
Rb (0.500, 0.000, 0.000)
In (0.000, 0.000, 0.000)
B (0.500, 0.500, 0.500)
Pt (0.000, 0.000, 0.500)

---

Computed, not measured: an optimized crystal structure of Rb2InBPt at the GGA-PBE level of DFT.

Formation enthalpy at 0 K = 0.252 eV/atom
Crystal system = tetragonal
Energy above the lowest structure with this stoichiometry = 0.0 meV per atom
Density = 4.87 g cm⁻³
VASP energy = -3.23 eV/atom
Volume = 167.50 Å³/cell

a = 6.440 Å, b = 6.440 Å, c = 4.038 Å
α = 90.00°, β = 90.00°, γ = 90.00°
Positions (direct):
Rb (0.000, 0.500, 0.000)
Rb (0.500, 0.000, 0.000)
In (0.000, 0.000, 0.500)
B (0.500, 0.500, 0.000)
Pt (0.500, 0.500, 0.500)

---

Computed, not measured: an optimized crystal structure of InReB2Pt at the GGA-PBE level of DFT.

Formation enthalpy at 0 K = 0.899 eV/atom
Crystal system = tetragonal
Density = 9.89 g cm⁻³
VASP energy = -6.02 eV/atom
Volume = 86.95 Å³/cell

a = 4.114 Å, b = 4.114 Å, c = 5.136 Å
α = 90.00°, β = 90.00°, γ = 90.00°
Positions (direct):
In (0.000, 0.000, 0.000)
Re (0.500, 0.500, 0.500)
B (0.000, 0.500, 0.500)
B (0.500, 0.000, 0.500)
Pt (0.500, 0.500, 0.000)

---

Computed, not measured: an optimized crystal structure of In2BPtRh at the GGA-PBE level of DFT.

Formation enthalpy at 0 K = 1.215 eV/atom
Crystal system = tetragonal
Density = 7.11 g cm⁻³
VASP energy = -3.89 eV/atom
Volume = 125.84 Å³/cell

a = 5.054 Å, b = 5.054 Å, c = 4.926 Å
α = 90.00°, β = 90.00°, γ = 90.00°
Positions (direct):
In (0.000, 0.500, 0.000)
In (0.500, 0.000, 0.000)
B (0.000, 0.000, 0.500)
Pt (0.500, 0.500, 0.500)
Rh (0.500, 0.500, 0.000)

---

Computed, not measured: an optimized crystal structure of InBPt2Rh at the GGA-PBE level of DFT.

Formation enthalpy at 0 K = -0.316 eV/atom
Crystal system = tetragonal
Density = 13.60 g cm⁻³
VASP energy = -6.09 eV/atom
Volume = 75.56 Å³/cell

a = 4.256 Å, b = 4.256 Å, c = 4.172 Å
α = 90.00°, β = 90.00°, γ = 90.00°
Positions (direct):
In (0.000, 0.000, 0.000)
B (0.500, 0.500, 0.500)
Pt (0.000, 0.500, 0.500)
Pt (0.500, 0.000, 0.500)
Rh (0.500, 0.500, 0.000)

---

Computed, not measured: an optimized crystal structure of InBPtRh2 at the GGA-PBE level of DFT.

Formation enthalpy at 0 K = -0.401 eV/atom
Crystal system = tetragonal
Density = 11.95 g cm⁻³
VASP energy = -6.43 eV/atom
Volume = 73.15 Å³/cell

a = 4.180 Å, b = 4.180 Å, c = 4.186 Å
α = 90.00°, β = 90.00°, γ = 90.00°
Positions (direct):
In (0.000, 0.000, 0.000)
B (0.500, 0.500, 0.500)
Pt (0.500, 0.500, 0.000)
Rh (0.000, 0.500, 0.500)
Rh (0.500, 0.000, 0.500)